(1)
{"formula": "Sm2Dy2Tm", "functional": "GGA-PBE", "state": "relaxed", "magnetic_moment_mub_per_cell": 0.0, "ef_ev_per_atom": 0.145, "mass_density_g_cm3": 8.11, "lattice_angstrom": [[-0.384, -3.343, 4.589], [-2.285, -2.140, -1.751], [13.570, -5.969, -6.741]], "species": ["Sm", "Sm", "Sm", "Sm", "Dy", "Dy", "Dy", "Dy", "Tm", "Tm"], "fractional_positions": [[0.543, 0.293, 0.087], [0.940, 0.190, 0.881], [0.457, 0.707, 0.913], [0.060, 0.810, 0.119], [0.729, 0.979, 0.458], [0.271, 0.021, 0.542], [0.368, 0.118, 0.736], [0.632, 0.882, 0.264], [0.826, 0.576, 0.652], [0.174, 0.424, 0.348]]}


(2)
{"formula": "ErFeSi2Mo", "functional": "GGA-PBE", "state": "relaxed", "magnetic_moment_mub_per_cell": 2.4, "raw_formation_energy_ev_per_atom": -0.52, "mass_density_g_cm3": 7.53, "lattice_angstrom": [[3.933, 0.000, 0.000], [0.000, 3.933, 0.000], [-1.967, -1.967, 5.348]], "species": ["Er", "Fe", "Si", "Si", "Mo"], "fractional_positions": [[0.000, 0.000, 0.000], [0.750, 0.250, 0.500], [0.613, 0.613, 0.225], [0.387, 0.387, 0.775], [0.250, 0.750, 0.500]]}


(3)
{"formula": "LiLa2Rh", "functional": "GGA-PBE", "state": "relaxed", "magnetic_moment_mub_per_cell": 0.0, "ef_ev_per_atom": -0.353, "mass_density_g_cm3": 5.04, "lattice_angstrom": [[-3.274, 1.739, 1.770], [-2.983, -2.340, 1.582], [2.133, -0.253, 8.802]], "species": ["Li", "Rh", "La", "La"], "fractional_positions": [[0.750, 0.750, 0.750], [0.250, 0.250, 0.250], [0.976, 0.976, 0.067], [0.524, 0.524, 0.433]]}


(4)
{"formula": "YSiAs2", "functional": "GGA-PBE", "state": "relaxed", "magnetic_moment_mub_per_cell": 0.0, "raw_formation_energy_ev_per_atom": -0.39, "mass_density_g_cm3": 5.43, "lattice_angstrom": [[4.685, -0.014, -0.004], [-0.960, 4.585, -0.004], [0.003, 0.004, 3.802]], "species": ["As", "As", "Si", "Y"], "fractional_positions": [[0.000, 0.000, 0.000], [0.500, 0.500, 0.000], [0.500, 0.000, 0.500], [0.000, 0.500, 0.500]]}


(5)
{"formula": "Dy3YSe4", "functional": "GGA-PBE", "state": "relaxed", "magnetic_moment_mub_per_cell": 0.0, "raw_formation_energy_ev_per_atom": -1.75, "mass_density_g_cm3": 7.73, "lattice_angstrom": [[-3.090, 1.036, 2.375], [-3.710, 2.002, -5.701], [-1.298, -6.848, 1.299]], "species": ["Y", "Se", "Se", "Se", "Se", "Dy", "Dy", "Dy"], "fractional_positions": [[0.500, 0.000, 0.000], [0.000, 0.251, 0.251], [0.500, 0.750, 0.250], [0.000, 0.749, 0.749], [0.500, 0.250, 0.750], [0.000, 0.000, 0.500], [0.500, 0.500, 0.500], [0.000, 0.500, 0.000]]}


(6)
{"formula": "BaVSeBr2", "functional": "GGA-PBE", "state": "relaxed", "magnetic_moment_mub_per_cell": 3.0, "raw_formation_energy_ev_per_atom": -1.22, "mass_density_g_cm3": 5.01, "lattice_angstrom": [[-2.667, 3.601, 2.623], [-2.636, 1.188, -4.312], [-3.634, -3.590, 1.233]], "species": ["Se", "Ba", "Br", "Br", "V"], "fractional_positions": [[0.000, 0.000, 0.500], [0.500, 0.500, 0.500], [0.000, 0.500, 0.000], [0.500, 0.000, 0.000], [0.000, 0.000, 0.000]]}